Crystalline RuPtBr2 at its relaxed geometry. Source: Alexandria, functional PBEsol.

Unit cell a=5.174 b=5.174 c=3.389 alpha=107.65 beta=107.65 gamma=109.16
Sites, in units of the cell vectors:
Ru  0.000  0.000  0.000
Pt  0.500  0.500  0.000
Br  0.000  0.500  0.000
Br  0.500  0.000  0.000

Computed properties:
* offset from the most stable computed form: 0.406 eV per atom
* final energy: -4.392 eV/atom
* ΔE_f (raw): 0.827 eV/atom